1.
Material: ThAsPtRh
Method: DFT, PBE-GGA
State: relaxed

Lattice parameters (Å, degrees): 4.035 4.035 9.735 90.00 90.00 90.00
Space group P4/nmm (No. 129, origin choice 2)
Unique sites:
Th  0.250  0.250  0.224
As  0.250  0.250  0.651
Pt  0.250  0.250  0.921
Rh  0.250  0.750  0.500

Values from the calculation:
**Energy of formation**: -3.750 eV/f.u.
**Size of the total moment**: 0.00 Bohr magnetons per cell

---

2.
Material: ZrPtW2
Method: DFT, PBE-GGA
State: relaxed

Lattice parameters (Å, degrees): 10.034 2.800 5.027 90.00 101.30 90.00
Space group C2/m (No. 12)
Unique sites:
Zr  0.000  0.000  0.000
Pt  0.000  0.500  0.500
W  0.237  0.000  0.738

Values from the calculation:
**Energy of formation**: -0.154 eV/f.u.
**Energy relative to the lowest polymorph listed for this composition**: 132.7 meV/atom
**Size of the total moment**: 0.00 Bohr magnetons per cell

---

3.
Material: Sm2TlPb2
Method: DFT, PBE-GGA
State: relaxed

Lattice parameters (Å, degrees): 5.318 17.807 3.665 90.00 90.00 90.00
Space group Pbam (No. 55)
Unique sites:
Sm  0.213  0.175  0.000
Tl  0.000  0.000  0.000
Pb  0.207  0.348  0.500

Values from the calculation:
**Energy of formation**: -0.952 eV/f.u.
**Energy relative to the lowest polymorph listed for this composition**: 201.6 meV/atom
**Size of the total moment**: 0.00 Bohr magnetons per cell

---

4.
Material: AlSbRh2
Method: DFT, PBE-GGA
State: relaxed

Lattice parameters (Å, degrees): 3.173 3.851 5.387 90.00 90.00 90.00
Space group Pmm2 (No. 25)
Unique sites:
Al  0.000  0.000  0.000
Sb  0.500  0.500  0.651
Rh  0.000  0.000  0.477
Rh  0.500  0.500  0.140

Values from the calculation:
**ΔE_f (raw)**: -0.509 eV per atom
**Size of the total moment**: 0.00 Bohr magnetons per cell

---

5.
Material: AcPmSm6
Method: DFT, PBE-GGA
State: relaxed

Lattice parameters (Å, degrees): 5.193 5.193 10.394 90.00 90.00 90.00
Space group P4/mmm (No. 123)
Unique sites:
Ac  0.000  0.000  0.000
Pm  0.000  0.000  0.500
Sm  0.000  0.500  0.256
Sm  0.500  0.500  0.000
Sm  0.500  0.500  0.500

Values from the calculation:
**Energy of formation**: 0.223 eV/f.u.
**Size of the total moment**: 0.00 Bohr magnetons per cell

---

6.
Material: Pu2Si4Ir3Pd
Method: DFT, PBE-GGA
State: relaxed

Lattice parameters (Å, degrees): 4.144 4.144 9.981 90.00 90.00 90.00
Space group P-4m2 (No. 115)
Unique sites:
Pu  0.000  0.500  0.241
Si  0.000  0.000  0.000
Si  0.000  0.500  0.635
Si  0.500  0.500  0.000
Ir  0.000  0.500  0.873
Ir  0.500  0.500  0.500
Pd  0.000  0.000  0.500

Values from the calculation:
**ΔE_f (raw)**: -0.806 eV per atom
**Size of the total moment**: 10.33 Bohr magnetons per cell

---

7.
Material: MnMo2PtN
Method: DFT, PBE-GGA
State: relaxed

Lattice parameters (Å, degrees): 4.089 4.089 3.858 90.00 90.00 90.00
Space group P4/mmm (No. 123)
Unique sites:
Mn  0.000  0.000  0.000
Mo  0.000  0.500  0.500
Pt  0.500  0.500  0.000
N  0.000  0.000  0.500

Values from the calculation:
**ΔE_f (raw)**: -0.236 eV per atom
**Size of the total moment**: 0.00 Bohr magnetons per cell

---

8.
Material: Cs2KAg
Method: DFT, PBE-GGA
State: relaxed

Lattice parameters (Å, degrees): 5.1951 5.1951 37.8547 90.00 90.00 120.00
Space group R3m (No. 160, hexagonal axes)
Unique sites:
Cs  0.0000  0.0000  0.0000
Cs  0.0000  0.0000  0.2165
K  0.0000  0.0000  0.7744
Ag  0.0000  0.0000  0.6085

Values from the calculation:
**Energy of formation**: 0.185 eV/f.u.
**Energy relative to the lowest polymorph listed for this composition**: 27.8 meV/atom
**Size of the total moment**: 0.00 Bohr magnetons per cell

---

9.
Material: Ba3MgIn
Method: DFT, PBE-GGA
State: relaxed

Lattice parameters (Å, degrees): 6.136 23.739 6.131 90.00 90.00 90.00
Space group Cmcm (No. 63)
Unique sites:
Ba  0.000  0.074  0.250
Ba  0.000  0.250  0.250
Ba  0.000  0.425  0.250
Mg  0.000  0.338  0.750
In  0.000  0.159  0.750

Values from the calculation:
**Energy of formation**: -1.060 eV/f.u.
**Energy relative to the lowest polymorph listed for this composition**: 0.0 meV/atom
**Size of the total moment**: 0.00 Bohr magnetons per cell

---

10.
Material: CsLaZn3
Method: DFT, PBE-GGA
State: relaxed

Lattice parameters (Å, degrees): 5.691 5.691 5.691 90.00 90.00 90.00
Space group Pm-3m (No. 221)
Unique sites:
Cs  0.000  0.000  0.000
La  0.500  0.500  0.500
Zn  0.000  0.000  0.500

Values from the calculation:
**Energy of formation**: 4.485 eV/f.u.
**Energy relative to the lowest polymorph listed for this composition**: 468.3 meV/atom
**Size of the total moment**: 0.00 Bohr magnetons per cell

---

11.
Material: AcPrY
Method: DFT, PBE-GGA
State: relaxed

Lattice parameters (Å, degrees): 3.796 5.280 11.236 90.00 90.00 90.00
Space group Imm2 (No. 44)
Unique sites:
Ac  0.000  0.000  0.000
Pr  0.000  0.000  0.670
Y  0.000  0.000  0.331

Values from the calculation:
**Energy of formation**: 0.096 eV/f.u.
**Energy relative to the lowest polymorph listed for this composition**: 0.0 meV/atom
**Size of the total moment**: 0.00 Bohr magnetons per cell

---

12.
Material: RbAlN3
Method: DFT, PBE-GGA
State: relaxed

Lattice parameters (Å, degrees): 4.318 4.318 4.318 90.00 90.00 90.00
Space group Pm-3m (No. 221)
Unique sites:
Rb  0.000  0.000  0.000
Al  0.500  0.500  0.500
N  0.000  0.000  0.500

Values from the calculation:
**ΔE_f (raw)**: 3.281 eV per atom
**Size of the total moment**: 2.47 Bohr magnetons per cell

---

Number 1: density 12.68 Mg/m³. Number 2: density 15.68 Mg/m³. Number 3: density 8.80 Mg/m³. Number 4: density 8.94 Mg/m³. Number 5: density 7.55 Mg/m³. Number 6: density 12.43 Mg/m³. Number 7: density 11.74 Mg/m³. Number 8: density 2.32 Mg/m³. Number 9: density 4.10 Mg/m³. Number 10: density 4.22 Mg/m³. Number 11: density 6.74 Mg/m³. Number 12: density 3.19 Mg/m³.